A geometry-optimized TlVCuF6 structure. Source: Alexandria, functional PBE+U.

```
data_TlVCuF6
_chemical_formula_sum 'Tl2 V2 Cu2 F12'
_symmetry_space_group_name_H-M 'C 1 2 1'
_symmetry_Int_Tables_number 5
_cell_length_a 5.707
_cell_length_b 9.121
_cell_length_c 5.981
_cell_angle_alpha 90.00
_cell_angle_beta 92.59
_cell_angle_gamma 90.00
loop_
_symmetry_equiv_pos_as_xyz
'x,y,z'
'-x,y,-z'
'x+1/2,y+1/2,z'
'-x+1/2,y+1/2,-z'
loop_
_atom_site_label
_atom_site_fract_x
_atom_site_fract_y
_atom_site_fract_z
Tl1 0.000 0.000 0.000
V1 0.000 0.660 0.500
Cu1 0.000 0.320 0.500
F1 0.118 0.484 0.681
F2 0.153 0.789 0.710
F3 0.189 0.175 0.660
```

Calculated values
Its electronic total energy is -4.996 eV/atom. Its size of the total moment is 3.1 μB per formula unit. Its calculated density is 4.6 Mg/m³.


A geometry-optimized Tl3VCu2F9 structure. Source: Alexandria, functional PBE+U.

```
data_Tl3VCu2F9
_chemical_formula_sum 'Tl3 V1 Cu2 F9'
_symmetry_space_group_name_H-M 'P -3 m 1'
_symmetry_Int_Tables_number 164
_symmetry_space_group_name_Hall '-P 3 2"'
_cell_length_a 5.9737
_cell_length_b 5.9737
_cell_length_c 7.3248
_cell_angle_alpha 90.00
_cell_angle_beta 90.00
_cell_angle_gamma 120.00
loop_
_atom_site_label
_atom_site_fract_x
_atom_site_fract_y
_atom_site_fract_z
Tl1 0.0000 0.0000 0.0000
Tl2 0.3333 0.6667 0.6871
V1 0.0000 0.0000 0.5000
Cu1 0.3333 0.6667 0.1626
F1 0.0000 0.5000 0.0000
F2 0.1590 0.3181 0.3436
```

Calculated values
Its electronic total energy is -4.551 eV/atom. Its size of the total moment is 3.1 μB per formula unit. Its calculated density is 7.1 Mg/m³.


A geometry-optimized Tl2VCuF6 structure. Source: Alexandria, functional PBE+U.

```
data_Tl2VCuF6
_chemical_formula_sum 'Tl4 V2 Cu2 F12'
_symmetry_space_group_name_H-M 'I m m m'
_symmetry_Int_Tables_number 71
_symmetry_space_group_name_Hall '-I 2 2'
_cell_length_a 6.404
_cell_length_b 6.508
_cell_length_c 7.828
_cell_angle_alpha 90.00
_cell_angle_beta 90.00
_cell_angle_gamma 90.00
loop_
_atom_site_label
_atom_site_fract_x
_atom_site_fract_y
_atom_site_fract_z
Tl1 0.000 0.000 0.250
V1 0.000 0.500 0.000
Cu1 0.000 0.500 0.500
F1 0.000 0.500 0.255
F2 0.219 0.284 0.000
```

Calculated values
Its electronic total energy is -4.828 eV/atom. Its size of the total moment is 2.1 μB per formula unit. Its calculated density is 6.5 Mg/m³.


A geometry-optimized TlCu2WF8 structure. Source: Alexandria, functional PBE+U.

```
data_TlCu2WF8
_chemical_formula_sum 'Tl3 Cu6 W3 F24'
_symmetry_space_group_name_H-M 'R -3'
_symmetry_Int_Tables_number 148
_symmetry_space_group_name_Hall '-R 3'
_cell_length_a 5.1187
_cell_length_b 5.1187
_cell_length_c 24.4926
_cell_angle_alpha 90.00
_cell_angle_beta 90.00
_cell_angle_gamma 120.00
loop_
_atom_site_label
_atom_site_fract_x
_atom_site_fract_y
_atom_site_fract_z
Tl1 0.0000 0.0000 0.0000
Cu1 0.0000 0.0000 0.2643
W1 0.0000 0.0000 0.5000
F1 0.0000 0.0000 0.3403
F2 0.0120 0.6525 0.1171
```

Calculated values
Its electronic total energy is -4.643 eV/atom. Its size of the total moment is 1.0 μB per formula unit. Its calculated density is 6.0 Mg/m³.